1.
A geometry-optimized VZnRhPb2 structure. Source: the Alexandria database, functional GGA-PBE.

Unit cell a=5.1616 b=5.1616 c=4.5914 alpha=90.00 beta=90.00 gamma=90.00
Closest atoms and distances in Å follow each position.
Space group P4/mmm (No. 123)
Symmetry-distinct sites (fractional):
V 0.0000 0.0000 0.0000  8 Pb 3.45, 4 Rh 3.65
Zn 0.5000 0.5000 0.5000  2 Rh 2.30
Rh 0.5000 0.5000 0.0000  2 Zn 2.30
Pb 0.0000 0.5000 0.5000  2 Zn 2.58

Values from the calculation:
**Size of the total moment**: 0.09 μB per cell
**Formation enthalpy at 0 K**: 1.13 eV/atom


2.
A geometry-optimized LaZn3Ru structure. Source: the Alexandria database, functional GGA-PBE.

Unit cell a=5.5522 b=5.3131 c=6.2513 alpha=90.00 beta=93.21 gamma=90.00
Closest atoms and distances in Å follow each position.
Space group P2_1/m (No. 11)
Symmetry-distinct sites (fractional):
La 0.1360 0.2500 0.2006  2 Ru 2.82, 3 Zn 3.09-3.14
Zn 0.3389 0.0113 0.6616  5 Zn 2.54-2.78, 2 Ru 2.65-2.80
Zn 0.3925 0.7500 0.0388  1 Ru 2.56, 4 Zn 2.65-2.74
Ru 0.1119 0.7500 0.3509  5 Zn 2.56-2.80, 2 La 2.82

Values from the calculation:
**Size of the total moment**: 0.00 μB per cell
**Formation enthalpy at 0 K**: -0.24 eV/atom
**Relative energy among the computed polymorphs**: 0.0000 eV/atom


3.
A geometry-optimized CaTa2Nb structure. Source: the Alexandria database, functional GGA-PBE.

Unit cell a=6.8830 b=6.8830 c=6.8830 alpha=90.00 beta=90.00 gamma=90.00
Closest atoms and distances in Å follow each position.
Space group Fm-3m (No. 225)
Symmetry-distinct sites (fractional):
Ca 0.0000 0.0000 0.0000  8 Ta 2.98
Ta 0.2500 0.2500 0.2500  4 Nb 2.98, 4 Ca 2.98
Nb 0.0000 0.0000 0.5000  8 Ta 2.98

Values from the calculation:
**Size of the total moment**: 0.00 μB per cell
**Formation enthalpy at 0 K**: 0.69 eV/atom
**Relative energy among the computed polymorphs**: 0.0000 eV/atom


4.
A geometry-optimized ReRu2W structure. Source: the Alexandria database, functional GGA-PBE.

Unit cell a=9.0811 b=2.7657 c=4.7827 alpha=90.00 beta=100.14 gamma=90.00
Closest atoms and distances in Å follow each position.
Space group Cm (No. 8)
Symmetry-distinct sites (fractional):
Re 0.0000 0.0000 0.0000  7 Ru 2.68-2.83, 2 Re 2.77, 3 W 2.81-2.82
Ru 0.0070 0.5000 0.5182  3 W 2.68-2.75, 4 Re 2.70-2.83, 5 Ru 2.74-2.82
Ru 0.2526 0.0000 0.7821  3 Re 2.68-2.69, 5 Ru 2.74-2.82, 4 W 2.76
W 0.2541 0.5000 0.2826  7 Ru 2.68-2.76, 2 W 2.77, 3 Re 2.81-2.82

Values from the calculation:
**Size of the total moment**: 0.00 μB per cell
**Formation enthalpy at 0 K**: 0.06 eV/atom
**Relative energy among the computed polymorphs**: 0.0454 eV/atom


5.
A geometry-optimized Ca2VPH structure. Source: the Alexandria database, functional GGA-PBE.

Unit cell a=5.5555 b=5.5555 c=4.5335 alpha=90.00 beta=90.00 gamma=90.00
Closest atoms and distances in Å follow each position.
Space group P4/mmm (No. 123)
Symmetry-distinct sites (fractional):
Ca 0.0000 0.5000 0.0000  2 P 2.78
V 0.0000 0.0000 0.5000  2 P 2.27
P 0.0000 0.0000 0.0000  2 V 2.27
H 0.5000 0.5000 0.5000  8 Ca 3.59, 4 V 3.93

Values from the calculation:
**Size of the total moment**: 4.41 μB per cell
**Calculated total energy**: -21.2 eV per cell


6.
A geometry-optimized PAu3 structure. Source: the Alexandria database, functional GGA-PBE.

Unit cell a=4.1339 b=4.1339 c=4.1339 alpha=90.00 beta=90.00 gamma=90.00
Closest atoms and distances in Å follow each position.
Space group Pm-3m (No. 221)
Symmetry-distinct sites (fractional):
P 0.0000 0.0000 0.0000  12 Au 2.92
Au 0.0000 0.5000 0.5000  4 P 2.92, 8 Au 2.92

Values from the calculation:
**Size of the total moment**: 0.00 μB per cell
**Formation enthalpy at 0 K**: 0.31 eV/atom
**Relative energy among the computed polymorphs**: 0.2845 eV/atom


7.
A geometry-optimized Pm2U2Ru5 structure. Source: the Alexandria database, functional GGA-PBE.

Unit cell a=12.7183 b=7.3445 c=7.9165 alpha=90.00 beta=90.00 gamma=90.00
Closest atoms and distances in Å follow each position.
Space group Cmce (No. 64)
Symmetry-distinct sites (fractional):
Pm 0.2244 0.0000 0.0000  7 Ru 2.85-3.11
U 0.0000 0.1253 0.3754  4 Ru 2.47-2.76, 1 U 2.70
Ru 0.0000 0.0000 0.0000  2 Pm 2.85, 4 U 2.92-3.11, 8 Ru 3.13-3.14
Ru 0.1145 0.1857 0.6937  2 U 2.47-2.76

Values from the calculation:
**Size of the total moment**: 0.00 μB per cell
**Formation enthalpy at 0 K**: -0.07 eV/atom


8.
A geometry-optimized Ti5In2Co2Mo structure. Source: the Alexandria database, functional GGA-PBE.

Unit cell a=10.2543 b=10.2543 c=3.1408 alpha=90.00 beta=90.00 gamma=90.00
Closest atoms and distances in Å follow each position.
Space group P4/mbm (No. 127)
Symmetry-distinct sites (fractional):
Ti 0.0000 0.5000 0.0000  4 Co 2.43
Ti 0.0640 0.2006 0.0000  2 Co 2.45, 2 Mo 2.67
In 0.1763 0.6763 0.5000  3 Co 2.85-3.16, 10 Ti 3.00-3.18, 2 In 3.14
Co 0.1276 0.3724 0.5000  6 Ti 2.43-2.45
Mo 0.0000 0.0000 0.5000  8 Ti 2.67

Values from the calculation:
**Size of the total moment**: 0.00 μB per cell
**Formation enthalpy at 0 K**: -0.17 eV/atom


9.
A geometry-optimized Ce2Zn3CdGa4 structure. Source: the Alexandria database, functional GGA-PBE.

Unit cell a=4.2993 b=4.2993 c=10.7791 alpha=90.00 beta=90.00 gamma=90.00
Closest atoms and distances in Å follow each position.
Space group P-4m2 (No. 115)
Symmetry-distinct sites (fractional):
Ce 0.0000 0.5000 0.2414  6 Zn 3.27-3.52, 8 Ga 3.27-3.37, 2 Cd 3.52
Zn 0.0000 0.5000 0.8707  5 Ga 2.42-2.56
Zn 0.5000 0.5000 0.5000  4 Ga 2.67
Cd 0.0000 0.0000 0.5000  4 Ga 2.67
Ga 0.0000 0.0000 0.0000  4 Zn 2.56
Ga 0.0000 0.5000 0.6462  3 Zn 2.42-2.67, 2 Cd 2.67
Ga 0.5000 0.5000 0.0000  4 Zn 2.56

Values from the calculation:
**Size of the total moment**: 1.53 μB per cell
**Formation enthalpy at 0 K**: -0.39 eV/atom


10.
A geometry-optimized Er7TmCd4 structure. Source: the Alexandria database, functional GGA-PBE.

Unit cell a=14.5562 b=5.6584 c=9.6335 alpha=90.00 beta=121.89 gamma=90.00
Closest atoms and distances in Å follow each position.
Space group C2/m (No. 12)
Symmetry-distinct sites (fractional):
Er 0.0000 0.0000 0.0000  2 Tm 2.83, 4 Cd 2.93-3.16
Er 0.0720 0.5000 0.4139  3 Cd 3.09-3.18, 2 Er 3.29-3.41
Er 0.2064 0.5000 0.8814  4 Cd 3.32-3.69, 6 Er 3.43-3.72
Er 0.2404 0.0000 0.6965  4 Cd 2.95-3.14
Tm 0.0000 0.5000 0.0000  2 Er 2.83
Cd 0.0425 0.0000 0.7107  4 Er 2.95-3.18, 1 Cd 3.02
Cd 0.1810 0.0000 0.3416  5 Er 2.93-3.14, 1 Cd 3.02

Values from the calculation:
**Size of the total moment**: 0.02 μB per cell
**Formation enthalpy at 0 K**: 0.03 eV/atom


11.
A geometry-optimized BC2 structure. Source: the Alexandria database, functional GGA-PBE.

Unit cell a=3.9230 b=2.5466 c=7.7222 alpha=90.00 beta=90.86 gamma=90.00
Closest atoms and distances in Å follow each position.
Space group Pm (No. 6)
Symmetry-distinct sites (fractional):
B 0.0000 0.0000 0.0000  2 C 1.66-1.67, 2 B 1.82
B 0.0753 0.0000 0.3042  3 C 1.57-1.58
B 0.3295 0.5000 0.9941  2 C 1.59-1.61
B 0.7497 0.0000 0.5198  3 C 1.59
C 0.0491 0.0000 0.6618  3 C 1.55-1.64, 1 B 1.59
C 0.2757 0.5000 0.6635  4 C 1.55-1.59
C 0.3067 0.5000 0.3336  2 C 1.48-1.57, 2 B 1.58
C 0.5088 0.5000 0.4974  2 C 1.48-1.59, 2 B 1.59
C 0.5440 0.5000 0.8207  3 C 1.55-1.59, 1 B 1.59
C 0.5470 0.5000 0.1726  3 C 1.53-1.57, 1 B 1.61
C 0.7622 0.0000 0.1758  2 C 1.53, 2 B 1.57-1.66
C 0.7696 0.0000 0.8170  3 C 1.55-1.64, 1 B 1.67

Values from the calculation:
**Size of the total moment**: 0.00 μB per cell
**Formation enthalpy at 0 K**: 0.33 eV/atom
**Relative energy among the computed polymorphs**: 0.0931 eV/atom


Computed values of DOS at the Fermi energy (unit: states/eV/atom) for the preceding records, in sequence: 1.301 0.449 1.227 1.029 0.563 0.453 1.044 0.910 1.475 1.114 0.175.
Computed values of calculated volume (unit: Å³/f.u.) for the preceding records, in sequence: 122.3 92.1 81.5 59.1 139.9 70.6 184.9 165.1 199.2 336.9 19.3.